## Li2Si2Pt (SCAN)

Data for a crystal of Li2Si2Pt relaxed with PBEsol.

Cell lengths 6.528, 6.528, 6.528 Å; angles 149.64, 149.64, 43.46 degrees
Fractional coordinates of all 5 atoms:
Li 0.250 0.750 0.500
Li 0.750 0.250 0.500
Si 0.094 0.094 0.000
Si 0.906 0.906 0.000
Pt 0.500 0.500 0.000

Values from the calculation:
For the density of states at the Fermi level, the calculation gives 1.45 states/eV/cell. The calculation puts the formation energy (no corrections) at -14 kJ per mole of atoms. The space group is I4/mmm.